Entry from Alexandria via LeMat-Bulk: a relaxed MgAlW2 crystal (GGA-PBE).

Calculated values
Total energy, eV per atom: -7.48

a = 2.7359 Å, b = 4.2001 Å, c = 5.8072 Å
α = 90.00°, β = 90.00°, γ = 90.00°
Positions (direct):
Mg  0.0000  0.0000  0.0000
Al  0.5000  0.5000  0.7563
W  0.0000  0.0000  0.4981
W  0.5000  0.5000  0.2719

Entry from Alexandria via LeMat-Bulk: a relaxed AsIrS2Cl crystal (GGA-PBE).

Calculated values
ΔE_f (raw), eV per atom: 1.216

a = 4.8270 Å, b = 4.8270 Å, c = 4.6316 Å
α = 90.00°, β = 90.00°, γ = 90.00°
Positions (direct):
As  0.0000  0.0000  0.0000
Ir  0.5000  0.5000  0.5000
S  0.0000  0.5000  0.0000
S  0.5000  0.0000  0.0000
Cl  0.0000  0.0000  0.5000